[1]
First-principles (PBE) data for a relaxed YBe2Cd crystal, as listed in the Alexandria database.

Results
* theoretical density: 5.14 g/cm3
* SG: C2/m
* DFT formation energy: 0.2 eV per formula unit
* density of states at the Fermi level: 0.6463 states/eV per atom

Cell and atoms, written as POSCAR:
```
YBe2Cd
1.0
4.102 -0.006 0.003
2.049 3.554 0.003
2.047 1.181 4.857
Be Cd Y
2 1 1
Direct
0.452 0.452 0.643 Be
0.048 0.048 0.857 Be
0.750 0.750 0.750 Cd
0.250 0.250 0.250 Y
```



[2]
First-principles (PBE) data for a relaxed YBe2Cd crystal, as listed in the Alexandria database.

Results
* theoretical density: 5.42 g/cm3
* SG: P4mm
* DFT formation energy: 0.8 eV per formula unit
* density of states at the Fermi level: 0.6284 states/eV per atom

Cell and atoms, written as POSCAR:
```
YBe2Cd
1.0
-1.604 -2.596 0.081
2.189 -1.402 -1.599
3.305 -1.851 6.146
Be Y Cd
2 1 1
Direct
0.000 0.000 0.068 Be
0.500 0.500 0.197 Be
0.500 0.500 0.791 Y
0.000 0.000 0.444 Cd
```



[3]
First-principles (PBE) data for a relaxed Y2BeCd2 crystal, as listed in the Alexandria database.

Results
* theoretical density: 5.81 g/cm3
* SG: P4/mbm
* DFT formation energy: 0.0 eV per formula unit
* density of states at the Fermi level: 1.0000 states/eV per atom

Cell and atoms, written as POSCAR:
```
Y2BeCd2
1.0
-3.374 0.236 -6.006
6.005 -0.164 -3.380
-0.186 -4.951 -0.090
Y Be Cd
4 2 4
Direct
0.829 0.329 0.500 Y
0.171 0.671 0.500 Y
0.329 0.171 0.500 Y
0.671 0.829 0.500 Y
0.000 0.000 0.000 Be
0.500 0.500 0.000 Be
0.146 0.354 0.000 Cd
0.354 0.854 0.000 Cd
0.646 0.146 0.000 Cd
0.854 0.646 0.000 Cd
```



[4]
First-principles (PBE) data for a relaxed YBeCd crystal, as listed in the Alexandria database.

Results
* theoretical density: 5.52 g/cm3
* SG: Imm2
* DFT formation energy: 0.8 eV per formula unit
* density of states at the Fermi level: 0.7359 states/eV per atom
* energy above the lowest structure with this stoichiometry: 0.358 eV/atom

Cell and atoms, written as POSCAR:
```
YBeCd
1.0
-4.599 0.142 -2.262
-3.949 -0.502 3.232
4.096 2.903 -1.044
Be Y Cd
1 1 1
Direct
0.010 0.010 0.000 Be
0.664 0.664 0.000 Y
0.326 0.326 0.000 Cd
```



[5]
First-principles (PBE) data for a relaxed YBeCd crystal, as listed in the Alexandria database.

Results
* theoretical density: 5.34 g/cm3
* SG: F-43m
* DFT formation energy: 0.2 eV per formula unit
* density of states at the Fermi level: 1.3939 states/eV per atom
* energy above the lowest structure with this stoichiometry: 0.155 eV/atom

Cell and atoms, written as POSCAR:
```
YBeCd
1.0
4.522 0.000 0.000
2.261 3.916 0.000
2.261 1.305 3.692
Y Cd Be
1 1 1
Direct
0.500 0.500 0.500 Y
0.000 0.000 0.000 Cd
0.750 0.750 0.750 Be
```



[6]
First-principles (PBE) data for a relaxed YBe2Cd crystal, as listed in the Alexandria database.

Results
* theoretical density: 5.08 g/cm3
* SG: C2
* DFT formation energy: 0.8 eV per formula unit
* density of states at the Fermi level: 0.3533 states/eV per atom

Cell and atoms, written as POSCAR:
```
YBe2Cd
1.0
-3.991 -2.292 -1.323
2.938 -3.640 -1.023
0.087 1.310 3.871
Cd Be Y
1 2 1
Direct
0.471 0.529 0.000 Cd
0.066 0.934 0.000 Be
0.192 0.808 0.500 Be
0.770 0.230 0.500 Y
```



[7]
First-principles (PBE) data for a relaxed YBe4Cd crystal, as listed in the Alexandria database.

Results
* theoretical density: 4.65 g/cm3
* SG: F-43m
* DFT formation energy: 1.1 eV per formula unit
* density of states at the Fermi level: 0.6127 states/eV per atom

Cell and atoms, written as POSCAR:
```
YBe4Cd
1.0
-4.883 0.135 0.665
-2.482 4.185 -0.795
-3.008 0.381 -3.887
Be Cd Y
4 1 1
Direct
0.632 0.104 0.632 Be
0.104 0.632 0.632 Be
0.632 0.632 0.632 Be
0.632 0.632 0.104 Be
0.250 0.250 0.250 Cd
0.000 0.000 0.000 Y
```



[8]
First-principles (PBE) data for a relaxed YBe2Cd crystal, as listed in the Alexandria database.

Results
* theoretical density: 5.19 g/cm3
* SG: Amm2
* DFT formation energy: 0.2 eV per formula unit
* density of states at the Fermi level: 0.3466 states/eV per atom

Cell and atoms, written as POSCAR:
```
YBe2Cd
1.0
-1.919 -0.222 -3.438
-3.110 -0.498 1.768
-2.283 4.617 0.977
Be Cd Y
2 1 1
Direct
0.000 0.168 0.039 Be
0.500 0.071 0.233 Be
0.000 0.484 0.407 Cd
0.500 0.777 0.821 Y
```



[9]
First-principles (PBE) data for a relaxed YBeCd crystal, as listed in the Alexandria database.

Results
* theoretical density: 5.70 g/cm3
* SG: Imm2
* DFT formation energy: -0.3 eV per formula unit
* density of states at the Fermi level: 0.6617 states/eV per atom
* energy above the lowest structure with this stoichiometry: 0.000 eV/atom

Cell and atoms, written as POSCAR:
```
YBeCd
1.0
4.504 0.000 0.000
0.000 7.225 0.000
0.000 0.000 7.531
Be Cd Y
4 4 4
Direct
0.500 0.325 0.903 Be
0.000 0.175 0.403 Be
0.500 0.675 0.903 Be
0.000 0.825 0.403 Be
0.000 0.282 0.734 Cd
0.500 0.782 0.234 Cd
0.500 0.218 0.234 Cd
0.000 0.718 0.734 Cd
0.500 0.000 0.605 Y
0.500 0.500 0.544 Y
0.000 0.500 0.105 Y
0.000 0.000 0.044 Y
```



[10]
First-principles (PBE) data for a relaxed YBeCd4 crystal, as listed in the Alexandria database.

Results
* theoretical density: 6.74 g/cm3
* SG: F-43m
* DFT formation energy: 1.4 eV per formula unit
* density of states at the Fermi level: 0.5605 states/eV per atom

Cell and atoms, written as POSCAR:
```
YBeCd4
1.0
0.000 4.070 4.070
4.070 0.000 4.070
4.070 4.070 0.000
Y Be Cd
1 1 4
Direct
0.750 0.750 0.750 Y
0.000 0.000 0.000 Be
0.375 0.375 0.375 Cd
0.375 0.875 0.375 Cd
0.375 0.375 0.875 Cd
0.875 0.375 0.375 Cd
```



[11]
First-principles (PBE) data for a relaxed YBe2Cd crystal, as listed in the Alexandria database.

Results
* theoretical density: 4.59 g/cm3
* SG: I4_1/amd
* DFT formation energy: 1.1 eV per formula unit
* density of states at the Fermi level: 0.4734 states/eV per atom

Cell and atoms, written as POSCAR:
```
YBe2Cd
1.0
-1.120 -4.234 0.207
2.443 -0.820 -3.548
7.181 -4.014 3.162
Cd Y Be
2 2 4
Direct
0.750 0.250 0.500 Cd
0.000 0.000 0.000 Cd
0.500 0.500 0.000 Y
0.250 0.750 0.500 Y
0.875 0.125 0.750 Be
0.875 0.625 0.250 Be
0.375 0.125 0.750 Be
0.875 0.125 0.250 Be
```



[12]
First-principles (PBE) data for a relaxed BeZn2Cd2 crystal, as listed in the Alexandria database.

Results
* theoretical density: 6.47 g/cm3
* SG: P4/mbm
* DFT formation energy: 2.0 eV per formula unit
* density of states at the Fermi level: 0.3873 states/eV per atom
* energy above the lowest structure with this stoichiometry: 0.123 eV/atom

Cell and atoms, written as POSCAR:
```
BeZn2Cd2
1.0
-3.232 4.355 -3.914
-3.916 1.717 5.143
2.722 2.987 1.076
Zn Cd Be
4 4 2
Direct
0.141 0.641 0.500 Zn
0.359 0.141 0.500 Zn
0.859 0.359 0.500 Zn
0.641 0.859 0.500 Zn
0.333 0.833 0.000 Cd
0.167 0.333 0.000 Cd
0.833 0.667 0.000 Cd
0.667 0.167 0.000 Cd
0.000 0.000 0.000 Be
0.500 0.500 0.000 Be
```